Below is Er5TlAg2 after structural relaxation, with properties calculated at the PBE level.

Computed properties:
Its formation energy is -22 kJ/mol of atoms. The calculation puts the volume at 424.1 Å³ per cell. The calculated total energy comes out at -4.09 eV/atom. The space group is I4/mcm, No. 140.

Cell lengths 8.748, 8.748, 8.748 Å; angles 125.89, 125.89, 80.07 degrees
Fractional coordinates of all 16 atoms:
Er 0.000 0.000 0.000
Er 0.005 0.505 0.810
Er 0.195 0.005 0.500
Er 0.305 0.805 0.810
Er 0.495 0.305 0.500
Er 0.500 0.500 0.000
Er 0.505 0.695 0.500
Er 0.695 0.195 0.190
Er 0.805 0.995 0.500
Er 0.995 0.495 0.190
Tl 0.250 0.250 0.000
Tl 0.750 0.750 0.000
Ag 0.134 0.366 0.500
Ag 0.366 0.866 0.232
Ag 0.634 0.134 0.768
Ag 0.866 0.634 0.500



Below is Er3Tl2Ag2 after structural relaxation, with properties calculated at the PBE level.

Computed properties:
Its formation energy is -27 kJ/mol of atoms. The calculation puts the volume at 172.2 Å³ per cell. The calculated total energy comes out at -3.73 eV/atom. The space group is Cmmm, No. 65.

Cell lengths 11.181, 11.181, 3.465 Å; angles 90.00, 90.00, 156.58 degrees
Fractional coordinates of all 7 atoms:
Er 0.000 0.000 0.000
Er 0.162 0.838 0.000
Er 0.838 0.162 0.000
Tl 0.422 0.578 0.500
Tl 0.578 0.422 0.500
Ag 0.285 0.715 0.500
Ag 0.715 0.285 0.500



Below is ErTlAg4 after structural relaxation, with properties calculated at the PBE level.

Computed properties:
Its formation energy is -15 kJ/mol of atoms. The calculation puts the volume at 125.3 Å³ per cell. The calculated total energy comes out at -3.21 eV/atom. The space group is F-43m, No. 216.

Cell lengths 5.617, 5.617, 5.617 Å; angles 60.00, 60.00, 60.00 degrees
Fractional coordinates of all 6 atoms:
Er 0.000 0.000 0.000
Tl 0.750 0.750 0.750
Ag 0.375 0.375 0.375
Ag 0.375 0.375 0.876
Ag 0.375 0.876 0.375
Ag 0.876 0.375 0.375



Below is Er4TlAg2 after structural relaxation, with properties calculated at the PBE level.

Computed properties:
Its formation energy is -3 kJ/mol of atoms. The calculation puts the volume at 200.4 Å³ per cell. For the relative energy among the computed polymorphs, the calculation gives 140 meV per atom. The calculated total energy comes out at -3.79 eV/atom. The space group is R-3m, No. 166.

Cell lengths 10.083, 10.083, 10.083 Å; angles 28.06, 28.06, 28.06 degrees
Fractional coordinates of all 7 atoms:
Er 0.120 0.120 0.120
Er 0.297 0.297 0.297
Er 0.703 0.703 0.703
Er 0.880 0.880 0.880
Tl 0.500 0.500 0.500
Ag 0.399 0.399 0.399
Ag 0.601 0.601 0.601



Below is Er3Tl4Ag2 after structural relaxation, with properties calculated at the PBE level.

Computed properties:
Its formation energy is -21 kJ/mol of atoms. The calculation puts the volume at 223.5 Å³ per cell. The calculated total energy comes out at -3.42 eV/atom. The space group is C2/m, No. 12.

Cell lengths 6.072, 6.072, 9.286 Å; angles 116.13, 116.13, 48.18 degrees
Fractional coordinates of all 9 atoms:
Er 0.000 0.000 0.000
Er 0.333 0.333 0.342
Er 0.667 0.667 0.658
Tl 0.063 0.063 0.388
Tl 0.260 0.260 0.915
Tl 0.740 0.740 0.085
Tl 0.937 0.937 0.612
Ag 0.402 0.402 0.731
Ag 0.598 0.598 0.269



Below is Er4Tl2Ag after structural relaxation, with properties calculated at the PBE level.

Computed properties:
Its formation energy is -19 kJ/mol of atoms. The calculation puts the volume at 196.9 Å³ per cell. For the relative energy among the computed polymorphs, the calculation gives 0 meV per atom. The calculated total energy comes out at -3.89 eV/atom. The space group is R-3m, No. 166.

Cell lengths 8.978, 8.978, 8.978 Å; angles 33.55, 33.55, 33.55 degrees
Fractional coordinates of all 7 atoms:
Er 0.124 0.124 0.124
Er 0.375 0.375 0.375
Er 0.625 0.625 0.625
Er 0.876 0.876 0.876
Tl 0.253 0.253 0.253
Tl 0.747 0.747 0.747
Ag 0.500 0.500 0.500



Below is Er2TlAg3 after structural relaxation, with properties calculated at the PBE level.

Computed properties:
Its formation energy is -23 kJ/mol of atoms. The calculation puts the volume at 271.8 Å³ per cell. For the relative energy among the computed polymorphs, the calculation gives 0 meV per atom. The calculated total energy comes out at -3.58 eV/atom. The space group is Fmmm, No. 69.

Cell lengths 9.765, 9.103, 5.865 Å; angles 78.16, 65.84, 36.00 degrees
Fractional coordinates of all 12 atoms:
Er 0.246 0.754 0.754
Er 0.250 0.250 0.250
Er 0.750 0.750 0.750
Er 0.754 0.246 0.246
Tl 0.334 0.334 0.666
Tl 0.666 0.666 0.334
Ag 0.165 0.672 0.328
Ag 0.166 0.166 0.834
Ag 0.328 0.835 0.165
Ag 0.672 0.165 0.835
Ag 0.834 0.834 0.166
Ag 0.835 0.328 0.672



Below is Er2Tl2Ag3 after structural relaxation, with properties calculated at the PBE level.

Computed properties:
Its formation energy is -11 kJ/mol of atoms. The calculation puts the volume at 165.3 Å³ per cell. The calculated total energy comes out at -3.32 eV/atom. The space group is C2/m, No. 12.

Cell lengths 6.100, 6.100, 7.601 Å; angles 90.77, 90.77, 35.77 degrees
Fractional coordinates of all 7 atoms:
Er 0.130 0.130 0.292
Er 0.870 0.870 0.708
Tl 0.398 0.398 0.365
Tl 0.602 0.602 0.635
Ag 0.187 0.187 0.898
Ag 0.500 0.500 0.000
Ag 0.813 0.813 0.102



Below is Er8Tl5Ag after structural relaxation, with properties calculated at the PBE level.

Computed properties:
Its formation energy is -20 kJ/mol of atoms. The calculation puts the volume at 392.2 Å³ per cell. The calculated total energy comes out at -3.86 eV/atom. The space group is I-4, No. 82.

Cell lengths 7.987, 7.987, 7.987 Å; angles 109.66, 109.66, 109.08 degrees
Fractional coordinates of all 14 atoms:
Er 0.112 0.368 0.096
Er 0.137 0.388 0.617
Er 0.272 0.016 0.904
Er 0.479 0.863 0.251
Er 0.612 0.228 0.749
Er 0.632 0.728 0.744
Er 0.772 0.521 0.383
Er 0.984 0.888 0.256
Tl 0.250 0.750 0.500
Tl 0.380 0.257 0.374
Tl 0.743 0.117 0.123
Tl 0.883 0.005 0.626
Tl 0.995 0.620 0.877
Ag 0.500 0.500 0.000



Below is Er4TlAg2 after structural relaxation, with properties calculated at the PBE level.

Computed properties:
Its formation energy is -16 kJ/mol of atoms. The calculation puts the volume at 185.9 Å³ per cell. For the relative energy among the computed polymorphs, the calculation gives 0 meV per atom. The calculated total energy comes out at -3.93 eV/atom. The space group is R-3m, No. 166.

Cell lengths 8.691, 8.691, 8.691 Å; angles 34.30, 34.30, 34.30 degrees
Fractional coordinates of all 7 atoms:
Er 0.115 0.115 0.115
Er 0.369 0.369 0.369
Er 0.631 0.631 0.631
Er 0.885 0.885 0.885
Tl 0.500 0.500 0.500
Ag 0.247 0.247 0.247
Ag 0.753 0.753 0.753



Below is ErTl2Ag after structural relaxation, with properties calculated at the PBE level.

Computed properties:
Its formation energy is -7 kJ/mol of atoms. The calculation puts the volume at 97.8 Å³ per cell. The calculated total energy comes out at -3.10 eV/atom. The space group is P4/mmm, No. 123.

Cell lengths 3.640, 3.640, 7.377 Å; angles 90.00, 90.00, 90.00 degrees
Fractional coordinates of all 4 atoms:
Er 0.000 0.000 0.000
Tl 0.500 0.500 0.270
Tl 0.500 0.500 0.730
Ag 0.000 0.000 0.500